No. 1
The following is a DFT calculation (PBE) of a geometry-optimized TaAlPt3 structure.

```
data_TaAlPt3
_chemical_formula_sum 'Ta1 Al1 Pt3'
_cell_length_a 4.506
_cell_length_b 4.506
_cell_length_c 4.506
_cell_angle_alpha 90.00
_cell_angle_beta 90.00
_cell_angle_gamma 90.00
_space_group_name_H-M_alt 'P m -3 m'
_space_group_IT_number 221
_space_group_name_Hall '-P 4 2 3'
loop_
_atom_site_label
_atom_site_type_symbol
_atom_site_fract_x
_atom_site_fract_y
_atom_site_fract_z
Ta1 Ta 0.000 0.000 0.000
Al1 Al 0.500 0.500 0.500
Pt1 Pt 0.000 0.500 0.500
```

Calculated values
Total moment   0.0 μB/f.u.
Energy   -0.4629 Ry/atom
ΔH_f (0 K)   0.45 eV per atom
Crystal system   cubic
Volume   18.3 Å³/atom

***

No. 2
The following is a DFT calculation (PBE) of a geometry-optimized KYW structure.

```
data_KYW
_chemical_formula_sum 'K2 Y2 W2'
_cell_length_a 3.061
_cell_length_b 3.061
_cell_length_c 17.889
_cell_angle_alpha 90.00
_cell_angle_beta 90.00
_cell_angle_gamma 90.00
_space_group_name_H-M_alt 'I 4 m m'
_space_group_IT_number 107
_space_group_name_Hall 'I 4 -2'
loop_
_atom_site_label
_atom_site_type_symbol
_atom_site_fract_x
_atom_site_fract_y
_atom_site_fract_z
K1 K 0.000 0.000 0.000
Y1 Y 0.000 0.000 0.712
W1 W 0.000 0.000 0.332
```

Calculated values
Total moment   0.0 μB/f.u.
Energy   -0.4266 Ry/atom
ΔH_f (0 K)   1.03 eV per atom
Crystal system   tetragonal
Volume   27.9 Å³/atom

***

No. 3
The following is a DFT calculation (PBE) of a geometry-optimized HfCdSb3 structure.

```
data_HfCdSb3
_chemical_formula_sum 'Hf1 Cd1 Sb3'
_cell_length_a 5.515
_cell_length_b 5.515
_cell_length_c 5.515
_cell_angle_alpha 90.00
_cell_angle_beta 90.00
_cell_angle_gamma 90.00
_space_group_name_H-M_alt 'P m -3 m'
_space_group_IT_number 221
_space_group_name_Hall '-P 4 2 3'
loop_
_atom_site_label
_atom_site_type_symbol
_atom_site_fract_x
_atom_site_fract_y
_atom_site_fract_z
Hf1 Hf 0.000 0.000 0.000
Cd1 Cd 0.500 0.500 0.500
Sb1 Sb 0.000 0.000 0.500
```

Calculated values
Total moment   0.0 μB/f.u.
Energy   -0.3227 Ry/atom
Uncorrected formation energy   0.256 eV/atom
Crystal system   cubic
Volume   33.6 Å³/atom

***

No. 4
The following is a DFT calculation (PBE) of a geometry-optimized ZnTc2BI structure.

```
data_ZnTc2BI
_chemical_formula_sum 'Zn1 Tc2 B1 I1'
_cell_length_a 4.389
_cell_length_b 4.389
_cell_length_c 3.964
_cell_angle_alpha 90.00
_cell_angle_beta 90.00
_cell_angle_gamma 90.00
_space_group_name_H-M_alt 'P 4/m m m'
_space_group_IT_number 123
_space_group_name_Hall '-P 4 2'
loop_
_atom_site_label
_atom_site_type_symbol
_atom_site_fract_x
_atom_site_fract_y
_atom_site_fract_z
Zn1 Zn 0.000 0.000 0.000
Tc1 Tc 0.000 0.500 0.500
B1 B 0.000 0.000 0.500
I1 I 0.500 0.500 0.000
```

Calculated values
Total moment   0.0 μB/f.u.
Energy   -0.3941 Ry/atom
Uncorrected formation energy   0.684 eV/atom
Crystal system   tetragonal
Volume   15.3 Å³/atom

***

No. 5
The following is a DFT calculation (PBE) of a geometry-optimized Ca2Ga5IrRu2 structure.

```
data_Ca2Ga5IrRu2
_chemical_formula_sum 'Ca4 Ga10 Ir2 Ru4'
_cell_length_a 10.757
_cell_length_b 10.757
_cell_length_c 3.079
_cell_angle_alpha 90.00
_cell_angle_beta 90.00
_cell_angle_gamma 90.00
_space_group_name_H-M_alt 'P 4/m b m'
_space_group_IT_number 127
_space_group_name_Hall '-P 4 2ab'
loop_
_atom_site_label
_atom_site_type_symbol
_atom_site_fract_x
_atom_site_fract_y
_atom_site_fract_z
Ca1 Ca 0.179 0.321 0.000
Ga1 Ga 0.000 0.500 0.500
Ga2 Ga 0.059 0.809 0.500
Ir1 Ir 0.000 0.000 0.000
Ru1 Ru 0.130 0.630 0.000
```

Calculated values
Total moment   0.0 μB/f.u.
Energy   -0.3658 Ry/atom
ΔH_f (0 K)   -0.32 eV per atom
Crystal system   tetragonal
Volume   17.8 Å³/atom

***

No. 6
The following is a DFT calculation (PBE) of a geometry-optimized Mg4IrW structure.

```
data_Mg4IrW
_chemical_formula_sum 'Mg16 Ir4 W4'
_cell_length_a 7.487
_cell_length_b 7.487
_cell_length_c 7.487
_cell_angle_alpha 90.00
_cell_angle_beta 90.00
_cell_angle_gamma 90.00
_space_group_name_H-M_alt 'F -4 3 m'
_space_group_IT_number 216
_space_group_name_Hall 'F -4 2 3'
loop_
_atom_site_label
_atom_site_type_symbol
_atom_site_fract_x
_atom_site_fract_y
_atom_site_fract_z
Mg1 Mg 0.125 0.125 0.125
Ir1 Ir 0.000 0.000 0.500
W1 W 0.250 0.250 0.750
```

Calculated values
Total moment   3.0 μB/f.u.
Energy   -0.2975 Ry/atom
ΔH_f (0 K)   0.65 eV per atom
Crystal system   cubic
Volume   17.5 Å³/atom

***

No. 7
The following is a DFT calculation (PBE) of a geometry-optimized Sm5HoEr structure.

```
data_Sm5HoEr
_chemical_formula_sum 'Sm10 Ho2 Er2'
_cell_length_a 8.024
_cell_length_b 11.788
_cell_length_c 6.187
_cell_angle_alpha 90.00
_cell_angle_beta 90.00
_cell_angle_gamma 90.00
_space_group_name_H-M_alt 'I m m 2'
_space_group_IT_number 44
_space_group_name_Hall 'I 2 -2'
loop_
_atom_site_label
_atom_site_type_symbol
_atom_site_fract_x
_atom_site_fract_y
_atom_site_fract_z
Sm1 Sm 0.000 0.000 0.000
Sm2 Sm 0.000 0.247 0.267
Sm3 Sm 0.178 0.500 0.764
Ho1 Ho 0.000 0.500 0.262
Er1 Er 0.000 0.000 0.527
```

Calculated values
Total moment   0.0 μB/f.u.
Energy   -0.2770 Ry/atom
ΔH_f (0 K)   0.91 eV per atom
Crystal system   orthorhombic
Volume   41.8 Å³/atom

***

No. 8
The following is a DFT calculation (PBE) of a geometry-optimized CaY2CuO5 structure.

```
data_CaY2CuO5
_chemical_formula_sum 'Ca2 Y4 Cu2 O10'
_cell_length_a 6.422
_cell_length_b 6.422
_cell_length_c 5.677
_cell_angle_alpha 90.00
_cell_angle_beta 90.00
_cell_angle_gamma 90.00
_space_group_name_H-M_alt 'P 4/m b m'
_space_group_IT_number 127
_space_group_name_Hall '-P 4 2ab'
loop_
_atom_site_label
_atom_site_type_symbol
_atom_site_fract_x
_atom_site_fract_y
_atom_site_fract_z
Ca1 Ca 0.000 0.000 0.000
Y1 Y 0.172 0.328 0.500
Cu1 Cu 0.000 0.500 0.000
O1 O 0.000 0.000 0.500
O2 O 0.146 0.646 0.242
```

Calculated values
Total moment   1.0 μB/f.u.
Energy   -0.5497 Ry/atom
Uncorrected formation energy   -2.610 eV/atom
Crystal system   tetragonal
Volume   13.0 Å³/atom

***

No. 9
The following is a DFT calculation (PBE) of a geometry-optimized CePm6Y3Ho2 structure.

```
data_CePm6Y3Ho2
_chemical_formula_sum 'Ce2 Pm12 Y6 Ho4'
_cell_length_a 6.251
_cell_length_b 10.829
_cell_length_c 11.896
_cell_angle_alpha 90.00
_cell_angle_beta 100.10
_cell_angle_gamma 90.00
_space_group_name_H-M_alt 'C 1 2/m 1'
_space_group_IT_number 12
_space_group_name_Hall '-C 2y'
loop_
_atom_site_label
_atom_site_type_symbol
_atom_site_fract_x
_atom_site_fract_y
_atom_site_fract_z
Ce1 Ce 0.000 0.000 0.000
Pm1 Pm 0.248 0.166 0.249
Pm2 Pm 0.249 0.000 0.751
Y1 Y 0.000 0.167 0.500
Y2 Y 0.000 0.500 0.500
Ho1 Ho 0.000 0.334 0.000
```

Calculated values
Total moment   1.3 μB/f.u.
Energy   -0.3831 Ry/atom
ΔH_f (0 K)   0.04 eV per atom
Crystal system   monoclinic
Volume   33.0 Å³/atom

***

No. 10
The following is a DFT calculation (PBE) of a geometry-optimized SrTcSCl2 structure.

```
data_SrTcSCl2
_chemical_formula_sum 'Sr1 Tc1 S1 Cl2'
_cell_length_a 4.958
_cell_length_b 4.958
_cell_length_c 4.632
_cell_angle_alpha 90.00
_cell_angle_beta 90.00
_cell_angle_gamma 90.00
_space_group_name_H-M_alt 'P 4/m m m'
_space_group_IT_number 123
_space_group_name_Hall '-P 4 2'
loop_
_atom_site_label
_atom_site_type_symbol
_atom_site_fract_x
_atom_site_fract_y
_atom_site_fract_z
Sr1 Sr 0.000 0.000 0.000
Tc1 Tc 0.500 0.500 0.500
S1 S 0.500 0.500 0.000
Cl1 Cl 0.000 0.500 0.500
```

Calculated values
Total moment   1.1 μB/f.u.
Energy   -0.3571 Ry/atom
Uncorrected formation energy   -0.884 eV/atom
Crystal system   tetragonal
Volume   22.8 Å³/atom

***

No. 11
The following is a DFT calculation (PBE) of a geometry-optimized Ce5As5O2 structure.

```
data_Ce5As5O2
_chemical_formula_sum 'Ce10 As10 O4'
_cell_length_a 13.670
_cell_length_b 4.026
_cell_length_c 10.133
_cell_angle_alpha 90.00
_cell_angle_beta 104.56
_cell_angle_gamma 90.00
_space_group_name_H-M_alt 'C 1 2/m 1'
_space_group_IT_number 12
_space_group_name_Hall '-C 2y'
loop_
_atom_site_label
_atom_site_type_symbol
_atom_site_fract_x
_atom_site_fract_y
_atom_site_fract_z
Ce1 Ce 0.000 0.000 0.000
Ce2 Ce 0.097 0.000 0.362
Ce3 Ce 0.154 0.500 0.792
As1 As 0.000 0.500 0.500
As2 As 0.157 0.500 0.112
As3 As 0.247 0.000 0.637
O1 O 0.057 0.000 0.803
```

Calculated values
Total moment   2.9 μB/f.u.
Energy   -0.5136 Ry/atom
Uncorrected formation energy   -1.752 eV/atom
Crystal system   monoclinic
Volume   22.5 Å³/atom

***

No. 12
The following is a DFT calculation (PBE) of a geometry-optimized Sm4Bi3Se structure.

```
data_Sm4Bi3Se
_chemical_formula_sum 'Sm8 Bi6 Se2'
_cell_length_a 8.937
_cell_length_b 12.635
_cell_length_c 4.476
_cell_angle_alpha 90.00
_cell_angle_beta 90.00
_cell_angle_gamma 90.00
_space_group_name_H-M_alt 'C m m m'
_space_group_IT_number 65
_space_group_name_Hall '-C 2 2'
loop_
_atom_site_label
_atom_site_type_symbol
_atom_site_fract_x
_atom_site_fract_y
_atom_site_fract_z
Sm1 Sm 0.000 0.245 0.000
Sm2 Sm 0.241 0.000 0.500
Bi1 Bi 0.000 0.500 0.000
Bi2 Bi 0.250 0.250 0.500
Se1 Se 0.000 0.000 0.000
```

Calculated values
Total moment   0.0 μB/f.u.
Energy   -0.3956 Ry/atom
Uncorrected formation energy   -1.132 eV/atom
Crystal system   orthorhombic
Volume   31.6 Å³/atom

***

No. 13
The following is a DFT calculation (PBE) of a geometry-optimized Er2Tm3Cd3 structure.

```
data_Er2Tm3Cd3
_chemical_formula_sum 'Er2 Tm3 Cd3'
_cell_length_a 8.5803
_cell_length_b 8.5803
_cell_length_c 3.3602
_cell_angle_alpha 90.00
_cell_angle_beta 90.00
_cell_angle_gamma 120.00
_space_group_name_H-M_alt 'P -6 2 m'
_space_group_IT_number 189
_space_group_name_Hall 'P -6 -2'
loop_
_atom_site_label
_atom_site_type_symbol
_atom_site_fract_x
_atom_site_fract_y
_atom_site_fract_z
Er1 Er 0.3333 0.6667 0.0000
Tm1 Tm 0.0000 0.7674 0.0000
Cd1 Cd 0.0000 0.3788 0.5000
```

Calculated values
Total moment   0.0 μB/f.u.
Energy   -0.2406 Ry/atom
ΔH_f (0 K)   -0.11 eV per atom
Crystal system   hexagonal
Volume   26.8 Å³/atom

***

No. 14
The following is a DFT calculation (PBE) of a geometry-optimized Ti5Ga2Au structure.

```
data_Ti5Ga2Au
_chemical_formula_sum 'Ti20 Ga8 Au4'
_cell_length_a 6.930
_cell_length_b 6.930
_cell_length_c 11.254
_cell_angle_alpha 90.00
_cell_angle_beta 90.00
_cell_angle_gamma 90.00
_space_group_name_H-M_alt 'I 4/m c m'
_space_group_IT_number 140
_space_group_name_Hall '-I 4 2c'
loop_
_atom_site_label
_atom_site_type_symbol
_atom_site_fract_x
_atom_site_fract_y
_atom_site_fract_z
Ti1 Ti 0.000 0.000 0.000
Ti2 Ti 0.156 0.344 0.156
Ga1 Ga 0.141 0.359 0.500
Au1 Au 0.000 0.000 0.250
```

Calculated values
Total moment   3.0 μB/f.u.
Energy   -0.4727 Ry/atom
ΔH_f (0 K)   -0.33 eV per atom
Crystal system   tetragonal
Volume   16.9 Å³/atom

***

No. 15
The following is a DFT calculation (PBE) of a geometry-optimized Na2TeAu2 structure.

```
data_Na2TeAu2
_chemical_formula_sum 'Na4 Te2 Au4'
_cell_length_a 7.432
_cell_length_b 7.432
_cell_length_c 4.462
_cell_angle_alpha 90.00
_cell_angle_beta 90.00
_cell_angle_gamma 90.00
_space_group_name_H-M_alt 'P 4/m b m'
_space_group_IT_number 127
_space_group_name_Hall '-P 4 2ab'
loop_
_atom_site_label
_atom_site_type_symbol
_atom_site_fract_x
_atom_site_fract_y
_atom_site_fract_z
Na1 Na 0.170 0.330 0.000
Te1 Te 0.000 0.000 0.500
Au1 Au 0.132 0.632 0.500
```

Calculated values
Total moment   0.0 μB/f.u.
Energy   -0.2095 Ry/atom
Uncorrected formation energy   -0.383 eV/atom
Crystal system   tetragonal
Volume   24.6 Å³/atom

***

No. 16
The following is a DFT calculation (PBE) of a geometry-optimized Ce7HgIr2 structure.

```
data_Ce7HgIr2
_chemical_formula_sum 'Ce14 Hg2 Ir4'
_cell_length_a 8.746
_cell_length_b 13.359
_cell_length_c 5.312
_cell_angle_alpha 90.00
_cell_angle_beta 90.00
_cell_angle_gamma 90.00
_space_group_name_H-M_alt 'C m m m'
_space_group_IT_number 65
_space_group_name_Hall '-C 2 2'
loop_
_atom_site_label
_atom_site_type_symbol
_atom_site_fract_x
_atom_site_fract_y
_atom_site_fract_z
Ce1 Ce 0.000 0.000 0.000
Ce2 Ce 0.000 0.216 0.500
Ce3 Ce 0.167 0.389 0.000
Hg1 Hg 0.000 0.500 0.500
Ir1 Ir 0.000 0.196 0.000
```

Calculated values
Total moment   5.8 μB/f.u.
Energy   -0.4486 Ry/atom
ΔH_f (0 K)   -0.15 eV per atom
Crystal system   orthorhombic
Volume   31.0 Å³/atom

***

No. 17
The following is a DFT calculation (PBE) of a geometry-optimized Na2Ac2Pd15 structure.

```
data_Na2Ac2Pd15
_chemical_formula_sum 'Na6 Ac6 Pd45'
_cell_length_a 9.3646
_cell_length_b 9.3646
_cell_length_c 13.7779
_cell_angle_alpha 90.00
_cell_angle_beta 90.00
_cell_angle_gamma 120.00
_space_group_name_H-M_alt 'R -3 m'
_space_group_IT_number 166
_space_group_name_Hall '-R 3 2"'
loop_
_atom_site_label
_atom_site_type_symbol
_atom_site_fract_x
_atom_site_fract_y
_atom_site_fract_z
Na1 Na 0.0000 0.0000 0.0919
Ac1 Ac 0.0000 0.0000 0.3444
Pd1 Pd 0.0000 0.3125 0.0000
Pd2 Pd 0.0000 0.5000 0.5000
Pd3 Pd 0.0040 0.5020 0.1582
```

Calculated values
Total moment   0.0 μB/f.u.
Energy   -0.3731 Ry/atom
ΔH_f (0 K)   -0.41 eV per atom
Crystal system   trigonal
Volume   18.4 Å³/atom

***

No. 18
The following is a DFT calculation (PBE) of a geometry-optimized Sr2CdAg4Ge3 structure.

```
data_Sr2CdAg4Ge3
_chemical_formula_sum 'Sr2 Cd1 Ag4 Ge3'
_cell_length_a 4.514
_cell_length_b 4.514
_cell_length_c 11.331
_cell_angle_alpha 90.00
_cell_angle_beta 90.00
_cell_angle_gamma 90.00
_space_group_name_H-M_alt 'P -4 m 2'
_space_group_IT_number 115
_space_group_name_Hall 'P -4 -2'
loop_
_atom_site_label
_atom_site_type_symbol
_atom_site_fract_x
_atom_site_fract_y
_atom_site_fract_z
Sr1 Sr 0.000 0.500 0.238
Cd1 Cd 0.000 0.000 0.500
Ag1 Ag 0.000 0.000 0.000
Ag2 Ag 0.000 0.500 0.643
Ag3 Ag 0.500 0.500 0.000
Ge1 Ge 0.000 0.500 0.870
Ge2 Ge 0.500 0.500 0.500
```

Calculated values
Total moment   0.0 μB/f.u.
Energy   -0.2366 Ry/atom
ΔH_f (0 K)   -0.27 eV per atom
Crystal system   tetragonal
Volume   23.1 Å³/atom

***

No. 19
The following is a DFT calculation (PBE) of a geometry-optimized Pm2PrHoEr4 structure.

```
data_Pm2PrHoEr4
_chemical_formula_sum 'Pm8 Pr4 Ho4 Er16'
_cell_length_a 6.797
_cell_length_b 11.814
_cell_length_c 13.247
_cell_angle_alpha 90.00
_cell_angle_beta 90.00
_cell_angle_gamma 90.00
_space_group_name_H-M_alt 'I m m a'
_space_group_IT_number 74
_space_group_name_Hall '-I 2b 2'
loop_
_atom_site_label
_atom_site_type_symbol
_atom_site_fract_x
_atom_site_fract_y
_atom_site_fract_z
Pm1 Pm 0.000 0.000 0.000
Pm2 Pm 0.250 0.250 0.250
Pr1 Pr 0.000 0.000 0.500
Ho1 Ho 0.250 0.250 0.750
Er1 Er 0.000 0.004 0.750
Er2 Er 0.250 0.250 0.504
```

Calculated values
Total moment   1.8 μB/f.u.
Energy   -0.3100 Ry/atom
ΔH_f (0 K)   0.42 eV per atom
Crystal system   orthorhombic
Volume   33.2 Å³/atom

***

No. 20
The following is a DFT calculation (PBE) of a geometry-optimized La2Y7Tm structure.

```
data_La2Y7Tm
_chemical_formula_sum 'La2 Y7 Tm1'
_cell_length_a 6.212
_cell_length_b 7.194
_cell_length_c 8.048
_cell_angle_alpha 102.81
_cell_angle_beta 97.42
_cell_angle_gamma 106.64
_space_group_name_H-M_alt 'P -1'
_space_group_IT_number 2
_space_group_name_Hall '-P 1'
loop_
_atom_site_label
_atom_site_type_symbol
_atom_site_fract_x
_atom_site_fract_y
_atom_site_fract_z
La1 La 0.103 0.202 0.198
Y1 Y 0.100 0.700 0.200
Y2 Y 0.300 0.599 0.599
Y3 Y 0.301 0.101 0.601
Y4 Y 0.500 0.000 0.000
Tm1 Tm 0.500 0.500 0.000
```

Calculated values
Total moment   0.0 μB/f.u.
Energy   -0.4361 Ry/atom
ΔH_f (0 K)   0.02 eV per atom
Crystal system   triclinic
Volume   32.9 Å³/atom